Here is a relaxed Na3TiFe3O8 crystal from Alexandria via LeMat-Bulk. Energies are from GGA+U.

Calculated total energy = -6.389 eV per atom

a b c (Å): 5.283 5.979 5.826
angles (deg): 90.00 108.86 90.00
Space group P2/m (No. 10)
Asymmetric unit:
Na (0.000, 0.000, 0.000) (multiplicity 1)
Na (0.500, 0.258, 0.000) (multiplicity 2)
Ti (0.500, 0.500, 0.500) (multiplicity 1)
Fe (0.000, 0.247, 0.500) (multiplicity 2)
Fe (0.500, 0.000, 0.500) (multiplicity 1)
O (0.226, 0.000, 0.706) (multiplicity 2)
O (0.246, 0.500, 0.687) (multiplicity 2)
O (0.278, 0.249, 0.311) (multiplicity 4)